Density functional theory data (GGA-PBE) for crystalline Tb4HgPd15 at its relaxed geometry.

a b c (Å): 4.1067 4.1067 20.7042
angles (deg): 90.00 90.00 90.00
With the nearest neighbours (Å) after each atom.
Sites, in units of the cell vectors:
Pd (0.5000, 0.5000, 0.1989)  4 Tb 2.90, 8 Pd 2.92-2.93
Pd (0.5000, 0.5000, 0.8011)  4 Tb 2.90, 8 Pd 2.92-2.93
Pd (0.5000, 0.5000, 0.3989)  4 Tb 2.90, 8 Pd 2.92-2.93
Tb (0.0000, 0.0000, 0.3994)  12 Pd 2.90-2.92
Pd (0.0000, 0.5000, 0.9017)  2 Hg 2.89, 8 Pd 2.89-2.93, 2 Tb 2.91
Pd (0.0000, 0.5000, 0.5000)  8 Pd 2.90-2.93, 4 Tb 2.92
Tb (0.0000, 0.0000, 0.6006)  12 Pd 2.90-2.92
Pd (0.5000, 0.0000, 0.2989)  8 Pd 2.90-2.92, 4 Tb 2.92-2.94
Tb (0.0000, 0.0000, 0.1976)  12 Pd 2.90-2.94
Pd (0.0000, 0.5000, 0.0983)  2 Hg 2.89, 8 Pd 2.89-2.93, 2 Tb 2.91
Pd (0.5000, 0.5000, 0.6011)  4 Tb 2.90, 8 Pd 2.92-2.93
Hg (0.0000, 0.0000, 0.0000)  12 Pd 2.89-2.90
Pd (0.0000, 0.5000, 0.2989)  8 Pd 2.90-2.92, 4 Tb 2.92-2.94
Tb (0.0000, 0.0000, 0.8024)  12 Pd 2.90-2.94
Pd (0.5000, 0.0000, 0.7011)  8 Pd 2.90-2.92, 4 Tb 2.92-2.94
Pd (0.5000, 0.5000, 0.0000)  8 Pd 2.89, 4 Hg 2.90
Pd (0.5000, 0.0000, 0.9017)  2 Hg 2.89, 8 Pd 2.89-2.93, 2 Tb 2.91
Pd (0.5000, 0.0000, 0.0983)  2 Hg 2.89, 8 Pd 2.89-2.93, 2 Tb 2.91
Pd (0.0000, 0.5000, 0.7011)  8 Pd 2.90-2.92, 4 Tb 2.92-2.94
Pd (0.5000, 0.0000, 0.5000)  8 Pd 2.90-2.93, 4 Tb 2.92

Calculated values
N(E_F) = 0.957 states/eV per atom
ρ = 11.568 g/cm³
E_form = -0.71 eV per atom